TlBi3F | Alexandria | GGA-PBEsol | relaxed; density of states at the Fermi level = 5.36 states/eV/cell; total magnetic moment = 0.00 μB per atom; energy relative to the elements, uncorrected = 57.47 kJ per mole of atoms
1.0
5.731 0.000 0.000
0.000 5.731 0.000
0.000 0.000 5.731
F Bi Tl
1 3 1
Cartesian
2.865 2.865 2.865
0.000 0.000 2.865
2.865 0.000 0.000
0.000 2.865 0.000
0.000 0.000 0.000